VASP calculation (PBE) on crystalline HfZrIn2 at its relaxed geometry.

Lattice parameters (Å, degrees): 11.1748 11.1748 11.1748 158.74 158.74 30.24
Fractional positions:
In 0.9201 0.9201 0.0000
Zr 0.0554 0.0554 0.0000
Zr 0.8054 0.3054 0.5000
Hf 0.4449 0.4449 0.0000
In 0.6701 0.1701 0.5000
In 0.3296 0.8296 0.5000
Hf 0.1949 0.6949 0.5000
In 0.5796 0.5796 0.0000

## Properties
The value obtained for the theoretical density is 9.0 g/cm³. The offset from the most stable computed form is 156 meV per atom.

---

VASP calculation (PBE) on crystalline Hf2ZrIn2 at its relaxed geometry.

Lattice parameters (Å, degrees): 4.0878 4.0878 7.8968 105.00 105.00 90.00
Fractional positions:
Hf 0.4054 0.4054 0.8108
In 0.7500 0.2500 0.5000
In 0.2500 0.7500 0.5000
Zr 0.0000 0.0000 0.0000
Hf 0.5946 0.5946 0.1892

## Properties
The value obtained for the theoretical density is 9.2 g/cm³. The offset from the most stable computed form is 268 meV per atom.